(1)
Entry from the Alexandria database: a geometry-optimized Ba2Li3MgAg12 structure (PBE).

Summary:
- magnetization (μB/cell) = 0.00
- crystal system = trigonal
- space-group type = R-3m (166)
- N(E_F) (states/eV per cell) = 9.417
- uncorrected energy (eV per atom) = -2.531
- energy of formation from the pure elements (eV/atom) = -0.01

Cell lengths 10.725, 10.725, 10.725 Å; angles 38.07, 38.07, 38.07 degrees
Sites, in units of the cell vectors:
Ba (0.647, 0.647, 0.647)
Ba (0.353, 0.353, 0.353)
Li (0.500, 0.000, 0.000)
Li (0.000, 0.500, 0.000)
Li (0.000, 0.000, 0.500)
Mg (0.000, 0.000, 0.000)
Ag (0.410, 0.410, 0.810)
Ag (0.934, 0.934, 0.353)
Ag (0.353, 0.934, 0.934)
Ag (0.810, 0.410, 0.410)
Ag (0.934, 0.353, 0.934)
Ag (0.410, 0.810, 0.410)
Ag (0.590, 0.590, 0.190)
Ag (0.066, 0.066, 0.647)
Ag (0.647, 0.066, 0.066)
Ag (0.190, 0.590, 0.590)
Ag (0.066, 0.647, 0.066)
Ag (0.590, 0.190, 0.590)



(2)
Entry from the Alexandria database: a geometry-optimized KSr2MgPd structure (PBE).

Summary:
- magnetization (μB/cell) = 0.00
- crystal system = tetragonal
- space-group type = P4/mmm (123)
- N(E_F) (states/eV per cell) = 1.657
- uncorrected energy (eV per atom) = -2.473
- energy of formation from the pure elements (eV/atom) = -0.22

Cell lengths 6.039, 6.039, 5.428 Å; angles 90.00, 90.00, 90.00 degrees
Sites, in units of the cell vectors:
Sr (0.000, 0.500, 0.000)
Sr (0.500, 0.000, 0.000)
K (0.500, 0.500, 0.500)
Mg (0.000, 0.000, 0.500)
Pd (0.000, 0.000, 0.000)



(3)
Entry from the Alexandria database: a geometry-optimized Pa8ReRh5 structure (PBE).

Summary:
- magnetization (μB/cell) = 0.00
- crystal system = tetragonal
- space-group type = I-4 (82)
- N(E_F) (states/eV per cell) = 23.017
- uncorrected energy (eV per atom) = -9.407
- energy of formation from the pure elements (eV/atom) = -0.47

Cell lengths 7.396, 7.396, 7.396 Å; angles 109.38, 109.65, 109.38 degrees
Sites, in units of the cell vectors:
Pa (0.114, 0.737, 0.989)
Pa (0.011, 0.125, 0.748)
Pa (0.757, 0.270, 0.393)
Pa (0.607, 0.364, 0.877)
Pa (0.513, 0.636, 0.243)
Pa (0.623, 0.875, 0.886)
Pa (0.252, 0.263, 0.377)
Pa (0.123, 0.730, 0.487)
Re (0.250, 0.500, 0.750)
Rh (0.990, 0.362, 0.108)
Rh (0.892, 0.882, 0.254)
Rh (0.746, 0.638, 0.628)
Rh (0.500, 0.000, 0.500)
Rh (0.372, 0.118, 0.010)



(4)
Entry from the Alexandria database: a geometry-optimized Rh2PbAu structure (PBE).

Summary:
- magnetization (μB/cell) = 0.00
- crystal system = monoclinic
- space-group type = Cm (8)
- N(E_F) (states/eV per cell) = 5.108
- uncorrected energy (eV per atom) = -5.280
- energy of formation from the pure elements (eV/atom) = 0.14

Cell lengths 5.370, 5.370, 4.772 Å; angles 70.53, 70.53, 33.21 degrees
Sites, in units of the cell vectors:
Rh (0.011, 0.011, 0.066)
Rh (0.739, 0.739, 0.679)
Pb (0.261, 0.261, 0.175)
Au (0.488, 0.488, 0.580)



(5)
Entry from the Alexandria database: a geometry-optimized BaAu3S3 structure (PBE).

Summary:
- magnetization (μB/cell) = 0.00
- formation energy from raw total energies (eV/atom) = -0.5196
- crystal system = triclinic
- space-group type = P-1 (2)
- N(E_F) (states/eV per cell) = 4.124
- uncorrected energy (eV per atom) = -3.968

Cell lengths 4.074, 10.437, 10.417 Å; angles 120.09, 89.62, 90.43 degrees
Sites, in units of the cell vectors:
Ba (0.250, 0.668, 0.334)
Ba (0.750, 0.332, 0.666)
Au (0.740, 0.982, 0.675)
Au (0.748, 0.692, 0.018)
Au (0.240, 0.675, 0.693)
Au (0.760, 0.325, 0.307)
Au (0.252, 0.308, 0.982)
Au (0.260, 0.018, 0.325)
S (0.746, 0.723, 0.595)
S (0.756, 0.872, 0.277)
S (0.251, 0.594, 0.871)
S (0.749, 0.406, 0.129)
S (0.244, 0.128, 0.723)
S (0.254, 0.277, 0.405)



(6)
Entry from the Alexandria database: a geometry-optimized MgSb2P structure (PBE).

Summary:
- magnetization (μB/cell) = 0.00
- energy relative to the lowest polymorph listed for this composition (kJ/mol of atoms) = 24.07
- formation energy from raw total energies (eV/atom) = 0.1954
- crystal system = tetragonal
- space-group type = P4/mmm (123)
- N(E_F) (states/eV per cell) = 2.572
- uncorrected energy (eV per atom) = -3.617

Cell lengths 4.966, 4.966, 3.630 Å; angles 90.00, 90.00, 90.01 degrees
Sites, in units of the cell vectors:
Mg (0.500, 0.000, 0.500)
P (0.000, 0.500, 0.500)
Sb (0.000, 0.000, 0.000)
Sb (0.500, 0.500, 0.000)



(7)
Entry from the Alexandria database: a geometry-optimized TcPd14Pt structure (PBE).

Summary:
- magnetization (μB/cell) = 0.00
- crystal system = tetragonal
- space-group type = P4/mmm (123)
- N(E_F) (states/eV per cell) = 27.788
- uncorrected energy (eV per atom) = -5.557
- energy of formation from the pure elements (eV/atom) = 0.01

Cell lengths 5.584, 5.584, 7.855 Å; angles 90.00, 90.00, 90.00 degrees
Sites, in units of the cell vectors:
Tc (0.875, 0.875, 0.500)
Pd (0.875, 0.875, 0.000)
Pd (0.375, 0.375, 0.000)
Pd (0.875, 0.375, 0.500)
Pd (0.875, 0.375, 0.000)
Pd (0.375, 0.875, 0.500)
Pd (0.375, 0.875, 0.000)
Pd (0.628, 0.122, 0.255)
Pd (0.628, 0.122, 0.745)
Pd (0.122, 0.628, 0.255)
Pd (0.122, 0.628, 0.745)
Pd (0.628, 0.628, 0.255)
Pd (0.628, 0.628, 0.745)
Pd (0.122, 0.122, 0.255)
Pd (0.122, 0.122, 0.745)
Pt (0.375, 0.375, 0.500)



(8)
Entry from the Alexandria database: a geometry-optimized Mn2FeTc structure (PBE).

Summary:
- magnetization (μB/cell) = 0.72
- crystal system = monoclinic
- space-group type = C2/m (12)
- N(E_F) (states/eV per cell) = 4.686
- uncorrected energy (eV per atom) = -9.174
- energy of formation from the pure elements (eV/atom) = 0.12

Cell lengths 4.422, 4.422, 4.447 Å; angles 80.49, 80.49, 33.73 degrees
Last column: magnetic moment on the atom in μB.
Sites, in units of the cell vectors:
Fe (0.250, 0.250, 0.250)  -1.28
Mn (0.994, 0.994, 0.018)  1.04
Mn (0.506, 0.506, 0.482)  1.04
Tc (0.750, 0.750, 0.750)  -0.11



- Which of these has the lowest N(E_F)?
  KSr2MgPd



- Which formula does entry 7 have?
  TcPd14Pt



Copy entry 2 word for word.
Entry from the Alexandria database: a geometry-optimized KSr2MgPd structure (PBE).

Summary:
- magnetization (μB/cell) = 0.00
- crystal system = tetragonal
- space-group type = P4/mmm (123)
- N(E_F) (states/eV per cell) = 1.657
- uncorrected energy (eV per atom) = -2.473
- energy of formation from the pure elements (eV/atom) = -0.22

Cell lengths 6.039, 6.039, 5.428 Å; angles 90.00, 90.00, 90.00 degrees
Sites, in units of the cell vectors:
Sr (0.000, 0.500, 0.000)
Sr (0.500, 0.000, 0.000)
K (0.500, 0.500, 0.500)
Mg (0.000, 0.000, 0.500)
Pd (0.000, 0.000, 0.000)